Entry i
ZrHgSe2Br: optimized geometry, PBE.

a = 5.1926 Å, b = 5.1926 Å, c = 5.3763 Å
α = 90.00°, β = 90.00°, γ = 90.00°
Fractional positions:
Zr 0.0000 0.0000 0.0000
Hg 0.5000 0.5000 0.5000
Se 0.0000 0.5000 0.5000
Se 0.5000 0.0000 0.5000
Br 0.5000 0.5000 0.0000

Computed properties:
ρ, kg/m³: 6067
Fermi-level density of states, states/eV per atom: 1.067
Space group: P4/mmm, No. 123

=====

Entry ii
ZrHgSe2Br: optimized geometry, PBE.

a = 5.2405 Å, b = 5.2405 Å, c = 5.4489 Å
α = 90.00°, β = 90.00°, γ = 90.00°
Fractional positions:
Zr 0.0000 0.0000 0.0000
Hg 0.5000 0.5000 0.5000
Se 0.0000 0.5000 0.0000
Se 0.5000 0.0000 0.0000
Br 0.0000 0.0000 0.5000

Computed properties:
ρ, kg/m³: 5877
Fermi-level density of states, states/eV per atom: 0.651
Space group: P4/mmm, No. 123

=====

entry ii is favored, and the nearest alternative lies 1.104 eV/atom above it.